Compound: Pm6Si2RhBr3
Source: the Alexandria database
Functional: GGA-PBE
Structure: relaxed

Results
calculated volume	28.31	A^3/atom
spin magnetization	0.00	μB per cell
energy relative to the elements, uncorrected	-1.0364	eV per atom
space group	C2/m, No. 12
DOS(E_F)	0.634	states/eV/atom

Cell and atoms, written as extended XYZ:
```
12
Lattice="9.472 -2.080 0.000 9.472 2.080 0.000 -2.386 0.000 8.621" Properties=species:S:1:pos:R:3 pbc="T T T"
Pm -0.383 0.000 1.908
Pm 5.107 0.000 3.745
Pm 4.452 0.000 7.694
Pm 12.107 0.000 0.927
Pm 11.452 0.000 4.876
Pm 16.941 0.000 6.713
Si 2.323 0.000 2.921
Si 14.235 0.000 5.700
Rh 9.472 0.000 0.000
Br 1.290 0.000 7.207
Br 8.279 0.000 4.311
Br 15.268 0.000 1.415
```